1.
A plane-wave DFT calculation with GGA-PBE was carried out for RbZnMo3 after structural relaxation.

Geometry as POSCAR:
```
RbZnMo3
1.0
-3.162 2.270 -2.598
1.927 -1.761 -3.884
-2.862 -3.694 0.255
Mo Zn Rb
3 1 1
direct
0.000 0.500 0.000
0.000 0.000 0.500
0.500 0.000 0.000
0.500 0.500 0.500
0.000 0.000 0.000
```

Output
Mass density   7.11 g/cm3
Uncorrected energy   -3.7309 eV/atom
Formation enthalpy at 0 K   3.22 eV per atom
Total magnetic moment   0.0 μB per formula unit

=====

2.
A plane-wave DFT calculation with GGA-PBE was carried out for V3CrGa after structural relaxation.

Geometry as POSCAR:
```
V3CrGa
1.0
-3.194 2.454 -1.525
-2.887 -2.623 1.826
0.112 2.377 3.590
Cr Ga V
1 1 3
direct
0.000 0.000 0.000
0.500 0.500 0.500
0.000 0.500 0.000
0.000 0.000 0.500
0.500 0.000 0.000
```

Output
Mass density   5.71 g/cm3
Uncorrected energy   -7.2301 eV/atom
Formation enthalpy at 0 K   0.77 eV per atom
Total magnetic moment   0.0 μB per formula unit

=====

3.
A plane-wave DFT calculation with GGA-PBE was carried out for AcPr2Pt after structural relaxation.

Geometry as POSCAR:
```
AcPr2Pt
1.0
-2.123 -0.068 6.459
3.682 -6.413 1.142
8.445 5.353 2.832
Ac Pr Pt
4 8 4
direct
0.645 0.529 0.250
0.855 0.029 0.250
0.355 0.471 0.750
0.145 0.971 0.750
0.170 0.676 0.065
0.330 0.176 0.435
0.830 0.324 0.565
0.670 0.824 0.935
0.830 0.324 0.935
0.670 0.824 0.565
0.170 0.676 0.435
0.330 0.176 0.065
0.081 0.382 0.250
0.419 0.882 0.250
0.919 0.618 0.750
0.581 0.118 0.750
```

Output
Mass density   8.84 g/cm3
Uncorrected energy   -5.5339 eV/atom
Formation enthalpy at 0 K   -0.61 eV per atom
Total magnetic moment   0.0 μB per formula unit

=====

4.
A plane-wave DFT calculation with GGA-PBE was carried out for Tb2SmHoTl2 after structural relaxation.

Geometry as POSCAR:
```
Tb2SmHoTl2
1.0
-2.822 4.287 -0.140
-3.794 -2.328 5.207
6.274 4.342 6.513
Tb Sm Ho Tl
4 2 2 4
direct
0.500 0.052 0.044
0.000 0.335 0.184
0.500 0.552 0.956
0.000 0.835 0.816
0.000 0.961 0.457
0.000 0.461 0.543
0.500 0.180 0.690
0.500 0.680 0.310
0.000 0.297 0.865
0.500 0.220 0.366
0.000 0.797 0.135
0.500 0.720 0.634
```

Output
Mass density   9.81 g/cm3
Uncorrected energy   -4.1522 eV/atom
Formation enthalpy at 0 K   -0.27 eV per atom
Total magnetic moment   0.0 μB per formula unit

=====

5.
A plane-wave DFT calculation with GGA-PBE was carried out for Pm2ErAl after structural relaxation.

Geometry as POSCAR:
```
Pm2ErAl
1.0
4.837 0.000 0.000
0.000 4.819 0.000
0.000 0.000 4.819
Pm Al Er
2 1 1
direct
0.000 0.000 0.500
0.000 0.500 0.000
0.500 0.500 0.500
0.500 0.000 0.000
```

Output
Mass density   7.16 g/cm3
Uncorrected energy   -4.6246 eV/atom
Formation enthalpy at 0 K   -0.17 eV per atom
Total magnetic moment   0.0 μB per formula unit

=====

6.
A plane-wave DFT calculation with GGA-PBE was carried out for In2CoSe after structural relaxation.

Geometry as POSCAR:
```
In2CoSe
1.0
5.381 -0.023 0.030
1.665 5.117 -0.030
-2.906 -3.400 2.991
Co In Se
1 2 1
direct
0.750 0.250 0.500
0.983 0.983 0.000
0.517 0.517 0.000
0.250 0.750 0.500
```

Output
Mass density   7.42 g/cm3
Formation energy (no corrections)   1.3 eV per formula unit
Uncorrected energy   -3.6871 eV/atom
Total magnetic moment   1.4 μB per formula unit

=====

7.
A plane-wave DFT calculation with GGA-PBE was carried out for Pr4NdEr2 after structural relaxation.

Geometry as POSCAR:
```
Pr4NdEr2
1.0
5.808 0.000 0.000
0.000 5.808 0.000
-2.904 -2.904 8.418
Pr Nd Er
4 1 2
direct
0.814 0.814 0.627
0.186 0.186 0.373
0.000 0.500 0.000
0.500 0.000 0.000
0.000 0.000 0.000
0.392 0.392 0.784
0.608 0.608 0.216
```

Output
Mass density   6.10 g/cm3
Uncorrected energy   -4.0658 eV/atom
Formation enthalpy at 0 K   0.65 eV per atom
Total magnetic moment   0.1 μB per formula unit

=====

8.
A plane-wave DFT calculation with GGA-PBE was carried out for RbAgPb after structural relaxation.

Geometry as POSCAR:
```
RbAgPb
1.0
3.832 0.006 -0.002
-0.015 7.549 -0.989
-1.909 -2.811 7.905
Rb Ag Pb
2 2 2
direct
0.279 0.392 0.325
0.599 0.712 0.964
0.939 0.264 0.644
0.939 0.840 0.645
0.551 0.164 0.868
0.327 0.940 0.421
```

Output
Mass density   6.10 g/cm3
Uncorrected energy   -2.4816 eV/atom
Formation enthalpy at 0 K   0.03 eV per atom
Total magnetic moment   0.0 μB per formula unit

=====

9.
A plane-wave DFT calculation with GGA-PBE was carried out for TbY2Ti after structural relaxation.

Geometry as POSCAR:
```
TbY2Ti
1.0
-0.617 -2.690 -1.995
0.520 -2.081 2.646
-9.362 0.495 2.228
Y Tb Ti
2 1 1
direct
0.000 0.000 0.781
0.000 0.000 0.219
0.500 0.500 0.500
0.500 0.500 0.000
```

Output
Mass density   5.71 g/cm3
Uncorrected energy   -6.1891 eV/atom
Formation enthalpy at 0 K   0.17 eV per atom
Total magnetic moment   0.0 μB per formula unit

=====

10.
A plane-wave DFT calculation with GGA-PBE was carried out for Ti4Zn2Au3 after structural relaxation.

Geometry as POSCAR:
```
Ti4Zn2Au3
1.0
4.086 -0.001 -0.003
2.045 5.640 1.621
0.002 0.197 6.510
Ti Zn Au
4 2 3
direct
0.330 0.339 0.996
0.888 0.225 0.336
0.112 0.775 0.664
0.670 0.661 0.004
0.776 0.447 0.679
0.224 0.553 0.321
0.563 0.874 0.338
0.000 0.000 0.000
0.437 0.126 0.662
```

Output
Mass density   10.20 g/cm3
Uncorrected energy   -5.1634 eV/atom
Formation enthalpy at 0 K   -0.28 eV per atom
Total magnetic moment   0.8 μB per formula unit

=====

11.
A plane-wave DFT calculation with GGA-PBE was carried out for Np3Zn5O12 after structural relaxation.

Geometry as POSCAR:
```
Np3Zn5O12
1.0
-10.552 -0.367 -2.400
1.309 -1.082 10.694
4.099 9.499 -3.195
Np Zn O
12 20 48
direct
0.750 0.375 0.125
0.875 0.750 0.125
0.375 0.750 0.625
0.250 0.125 0.375
0.875 0.125 0.250
0.375 0.625 0.250
0.625 0.375 0.750
0.125 0.875 0.750
0.750 0.875 0.625
0.625 0.250 0.375
0.125 0.250 0.875
0.250 0.625 0.875
0.125 0.375 0.250
0.000 0.500 0.000
0.000 0.000 0.000
0.375 0.250 0.125
0.500 0.000 0.500
0.500 0.500 0.000
0.125 0.750 0.375
0.750 0.125 0.875
0.750 0.625 0.375
0.375 0.125 0.750
0.625 0.875 0.250
0.500 0.500 0.500
0.500 0.000 0.000
0.000 0.000 0.500
0.250 0.375 0.625
0.250 0.875 0.125
0.000 0.500 0.500
0.875 0.250 0.625
0.625 0.750 0.875
0.875 0.625 0.750
0.720 0.133 0.045
0.325 0.545 0.412
0.955 0.367 0.280
0.545 0.220 0.133
0.587 0.720 0.675
0.955 0.588 0.175
0.325 0.780 0.413
0.088 0.913 0.133
0.588 0.955 0.675
0.720 0.587 0.175
0.780 0.455 0.367
0.825 0.912 0.045
0.133 0.720 0.545
0.367 0.412 0.087
0.087 0.912 0.367
0.413 0.133 0.588
0.087 0.175 0.220
0.455 0.675 0.088
0.825 0.913 0.280
0.133 0.413 0.088
0.367 0.955 0.780
0.588 0.633 0.413
0.912 0.825 0.545
0.780 0.325 0.913
0.412 0.367 0.587
0.088 0.175 0.455
0.220 0.675 0.087
0.175 0.087 0.720
0.633 0.045 0.220
0.867 0.587 0.912
0.545 0.325 0.912
0.587 0.867 0.412
0.913 0.825 0.780
0.913 0.088 0.633
0.867 0.280 0.455
0.175 0.088 0.955
0.633 0.588 0.913
0.412 0.045 0.325
0.280 0.413 0.825
0.220 0.545 0.633
0.912 0.087 0.867
0.675 0.220 0.587
0.455 0.780 0.867
0.045 0.412 0.825
0.413 0.280 0.325
0.045 0.633 0.720
0.675 0.455 0.588
0.280 0.867 0.955
```

Output
Mass density   8.36 g/cm3
Formation energy (no corrections)   -40.9 eV per formula unit
Uncorrected energy   -7.2797 eV/atom
Total magnetic moment   7.0 μB per formula unit

=====

12.
A plane-wave DFT calculation with GGA-PBE was carried out for Ac2NdAs3Rh12 after structural relaxation.

Geometry as POSCAR:
```
Ac2NdAs3Rh12
1.0
-2.503 6.231 1.707
-4.009 -2.292 5.165
4.624 1.218 5.014
Ac Nd As Rh
2 1 3 12
direct
0.643 0.643 0.643
0.357 0.357 0.357
0.000 0.000 0.000
0.500 0.000 0.000
0.000 0.500 0.000
0.000 0.000 0.500
0.375 0.375 0.900
0.815 0.815 0.322
0.322 0.815 0.815
0.900 0.375 0.375
0.815 0.322 0.815
0.375 0.900 0.375
0.625 0.625 0.100
0.185 0.185 0.678
0.678 0.185 0.185
0.100 0.625 0.625
0.185 0.678 0.185
0.625 0.100 0.625
```

Output
Mass density   10.41 g/cm3
Uncorrected energy   -6.6147 eV/atom
Formation enthalpy at 0 K   -0.22 eV per atom
Total magnetic moment   0.0 μB per formula unit

=====

13.
A plane-wave DFT calculation with GGA-PBE was carried out for TmZrNiAg after structural relaxation.

Geometry as POSCAR:
```
TmZrNiAg
1.0
-3.015 0.697 3.687
-3.577 -3.118 0.807
0.165 -2.913 3.828
Ni Tm Zr Ag
1 1 1 1
direct
0.500 0.500 0.500
0.750 0.750 0.750
0.250 0.250 0.250
0.000 0.000 0.000
```

Output
Mass density   8.99 g/cm3
Uncorrected energy   -5.5938 eV/atom
Formation enthalpy at 0 K   -0.18 eV per atom
Total magnetic moment   0.0 μB per formula unit

=====

14.
A plane-wave DFT calculation with GGA-PBE was carried out for Pr3CdBr3 after structural relaxation.

Geometry as POSCAR:
```
Pr3CdBr3
1.0
6.156 0.000 0.000
0.000 6.156 0.000
0.000 0.000 6.156
Pr Cd Br
3 1 3
direct
0.500 0.000 0.500
0.500 0.500 0.000
0.000 0.500 0.500
0.500 0.500 0.500
0.000 0.500 0.000
0.000 0.000 0.500
0.500 0.000 0.000
```

Output
Mass density   5.52 g/cm3
Formation energy (no corrections)   -8.1 eV per formula unit
Uncorrected energy   -4.0597 eV/atom
Total magnetic moment   0.0 μB per formula unit

=====

15.
A plane-wave DFT calculation with GGA-PBE was carried out for Zr6NiIr5 after structural relaxation.

Geometry as POSCAR:
```
Zr6NiIr5
1.0
-0.537 -0.194 -4.619
5.538 -3.614 -0.492
-1.269 -7.755 -2.011
Ni Ir Zr
1 5 6
direct
0.000 0.000 0.000
0.673 0.169 0.662
0.337 0.333 0.334
0.000 0.500 0.000
0.663 0.667 0.666
0.327 0.831 0.338
0.835 0.588 0.329
0.835 0.083 0.329
0.500 0.755 0.000
0.500 0.245 0.000
0.165 0.917 0.671
0.165 0.412 0.671
```

Output
Mass density   12.08 g/cm3
Uncorrected energy   -9.1703 eV/atom
Formation enthalpy at 0 K   -0.72 eV per atom
Total magnetic moment   0.0 μB per formula unit

=====

16.
A plane-wave DFT calculation with GGA-PBE was carried out for KHf2CdTe after structural relaxation.

Geometry as POSCAR:
```
KHf2CdTe
1.0
-2.342 1.027 -4.692
-1.472 -5.830 -0.541
-4.623 0.934 2.512
K Te Hf Cd
1 1 2 1
direct
0.000 0.500 0.000
0.000 0.000 0.000
0.000 0.000 0.500
0.500 0.000 0.000
0.500 0.500 0.500
```

Output
Mass density   6.13 g/cm3
Formation energy (no corrections)   3.9 eV per formula unit
Uncorrected energy   -4.2302 eV/atom
Total magnetic moment   0.0 μB per formula unit

=====

17.
A plane-wave DFT calculation with GGA-PBE was carried out for ThBiTe after structural relaxation.

Geometry as POSCAR:
```
ThBiTe
1.0
5.374 0.000 0.000
2.687 4.654 0.000
2.687 1.551 4.388
Te Bi Th
1 1 1
direct
0.000 0.000 0.000
0.500 0.500 0.500
0.250 0.250 0.250
```

Output
Mass density   8.60 g/cm3
Formation energy (no corrections)   -1.6 eV per formula unit
Uncorrected energy   -5.3334 eV/atom
Total magnetic moment   0.0 μB per formula unit

=====

18.
A plane-wave DFT calculation with GGA-PBE was carried out for Be4Tl after structural relaxation.

Geometry as POSCAR:
```
Be4Tl
1.0
-1.711 1.711 5.440
1.711 -1.711 5.440
1.711 1.711 -5.440
Be Tl
4 1
direct
0.750 0.250 0.500
0.250 0.750 0.500
0.610 0.610 0.000
0.390 0.390 0.000
0.000 0.000 0.000
```

Output
Mass density   6.27 g/cm3
Uncorrected energy   -2.8264 eV/atom
Formation enthalpy at 0 K   0.63 eV per atom
Total magnetic moment   0.0 μB per formula unit

=====

19.
A plane-wave DFT calculation with GGA-PBE was carried out for K2InRu after structural relaxation.

Geometry as POSCAR:
```
K2InRu
1.0
-11.286 -3.939 1.364
-10.944 -4.682 -1.750
-9.951 -6.743 0.516
In K Ru
1 2 1
direct
0.750 0.750 0.750
0.992 0.992 0.992
0.508 0.508 0.508
0.250 0.250 0.250
```

Output
Mass density   4.58 g/cm3
Uncorrected energy   -2.6523 eV/atom
Formation enthalpy at 0 K   0.90 eV per atom
Total magnetic moment   1.4 μB per formula unit

=====

20.
A plane-wave DFT calculation with GGA-PBE was carried out for DyTiPb2 after structural relaxation.

Geometry as POSCAR:
```
DyTiPb2
1.0
-1.534 3.104 -1.673
-3.501 -1.558 0.321
-0.731 2.880 6.013
Pb Ti Dy
2 1 1
direct
0.000 0.000 0.774
0.000 0.000 0.226
0.500 0.500 0.000
0.500 0.500 0.500
```

Output
Mass density   10.46 g/cm3
Uncorrected energy   -5.0602 eV/atom
Formation enthalpy at 0 K   -0.08 eV per atom
Total magnetic moment   0.0 μB per formula unit

=====

21.
A plane-wave DFT calculation with GGA-PBE was carried out for Pm8Ga2Si after structural relaxation.

Geometry as POSCAR:
```
Pm8Ga2Si
1.0
-1.725 4.544 -1.414
-4.944 -2.999 -3.607
-3.119 -1.120 9.264
Pm Ga Si
8 2 1
direct
0.409 0.543 0.818
0.657 0.980 0.314
0.790 0.683 0.580
0.978 0.225 0.955
0.210 0.317 0.420
0.343 0.020 0.686
0.591 0.457 0.182
0.022 0.775 0.045
0.815 0.249 0.631
0.185 0.751 0.369
0.500 0.000 0.000
```

Output
Mass density   6.90 g/cm3
Formation energy (no corrections)   -3.4 eV per formula unit
Uncorrected energy   -4.8050 eV/atom
Total magnetic moment   0.0 μB per formula unit

=====

22.
A plane-wave DFT calculation with GGA-PBE was carried out for SrHg6Bi2 after structural relaxation.

Geometry as POSCAR:
```
SrHg6Bi2
1.0
3.561 -0.111 -0.106
1.533 8.747 -1.830
1.533 -1.445 8.819
Sr Hg Bi
1 6 2
direct
0.000 0.000 0.000
0.316 0.971 0.345
0.684 0.029 0.655
0.684 0.655 0.029
0.500 0.360 0.640
0.500 0.640 0.360
0.316 0.345 0.971
0.300 0.301 0.301
0.700 0.699 0.699
```

Output
Mass density   10.56 g/cm3
Uncorrected energy   -1.3427 eV/atom
Formation enthalpy at 0 K   -0.09 eV per atom
Total magnetic moment   0.0 μB per formula unit